1.
## TaInTcS3 (PBE-GGA)

Data for a geometry-optimized TaInTcS3 structure.

- crystal system = monoclinic
- formation energy from raw total energies (eV per atom) = -0.632
- magnetization (μB per formula unit) = 0.0

abc: 8.0435 3.4045 10.0582
angles: 90.00 112.21 90.00
Closest atoms and distances in Å follow each position.
Space group P2_1/m (No. 11)
Symmetry-distinct sites (fractional):
1 Ta 0.0322 0.2500 0.3318 x2  6 S 2.47-2.60
2 In 0.4856 0.7500 0.7755 x2  5 S 2.98-3.33
3 Tc 0.0298 0.7500 0.1121 x2  4 S 2.32-2.60
4 S 0.1703 0.2500 0.6108 x2  3 Ta 2.57-2.60
5 S 0.1796 0.7500 0.9241 x2  3 Tc 2.32-2.60, 1 Ta 2.49
6 S 0.2612 0.7500 0.3468 x2  1 Tc 2.39, 2 Ta 2.47

***

2.
## RbLa2PbO5 (PBE-GGA)

Data for a geometry-optimized RbLa2PbO5 structure.

- crystal system = tetragonal
- formation energy from raw total energies (eV per atom) = -2.259
- magnetization (μB per formula unit) = 1.0

abc: 7.0908 7.0908 12.9015
angles: 90.00 90.00 90.00
Closest atoms and distances in Å follow each position.
Space group I4/mcm (No. 140)
Symmetry-distinct sites (fractional):
1 Rb 0.0000 0.0000 0.2500 x4  10 O 3.20-3.23, 4 Pb 3.55
2 La 0.1822 0.3178 0.0000 x8  2 O 2.31
3 Pb 0.0000 0.5000 0.2500 x4  4 O 2.23
4 O 0.0000 0.0000 0.0000 x4  4 La 2.60
5 O 0.1455 0.3545 0.3807 x16  1 Pb 2.23, 1 La 2.31

***

3.
## AsP2Br (PBE-GGA)

Data for a geometry-optimized AsP2Br structure.

- crystal system = tetragonal
- formation energy from raw total energies (eV per atom) = 0.886
- magnetization (μB per formula unit) = 0.0

abc: 4.9081 4.9081 3.0791
angles: 90.00 90.00 90.00
Closest atoms and distances in Å follow each position.
Space group P4/mmm (No. 123)
Symmetry-distinct sites (fractional):
1 As 0.0000 0.0000 0.0000 x1  8 P 2.90, 2 As 3.08
2 P 0.0000 0.5000 0.5000 x2  4 As 2.90, 4 Br 2.90, 2 P 3.08
3 Br 0.5000 0.5000 0.0000 x1  8 P 2.90, 2 Br 3.08

***

4.
## CuTeSeBr2 (PBE-GGA)

Data for a geometry-optimized CuTeSeBr2 structure.

- crystal system = tetragonal
- formation energy from raw total energies (eV per atom) = 0.225
- magnetization (μB per formula unit) = 0.0

abc: 4.8679 4.8679 5.1127
angles: 90.00 90.00 90.00
Closest atoms and distances in Å follow each position.
Space group P4/mmm (No. 123)
Symmetry-distinct sites (fractional):
1 Cu 0.0000 0.0000 0.0000 x1  4 Br 2.43, 2 Se 2.56
2 Te 0.5000 0.5000 0.5000 x1  4 Se 3.44, 8 Br 3.53
3 Se 0.0000 0.0000 0.5000 x1  2 Cu 2.56
4 Br 0.0000 0.5000 0.0000 x2  2 Cu 2.43

***

5.
## SiTcAsN2 (PBE-GGA)

Data for a geometry-optimized SiTcAsN2 structure.

- crystal system = tetragonal
- formation energy from raw total energies (eV per atom) = 0.739
- magnetization (μB per formula unit) = 0.0

abc: 3.8140 3.8140 5.2878
angles: 90.00 90.00 90.00
Closest atoms and distances in Å follow each position.
Space group P4/mmm (No. 123)
Symmetry-distinct sites (fractional):
1 Si 0.0000 0.0000 0.0000 x1  4 As 2.70
2 Tc 0.5000 0.5000 0.5000 x1  4 N 1.91
3 As 0.5000 0.5000 0.0000 x1  2 Tc 2.64, 4 Si 2.70
4 N 0.0000 0.5000 0.5000 x2  2 Tc 1.91

***

6.
## AlFeCl2 (PBE-GGA)

Data for a geometry-optimized AlFeCl2 structure.

- crystal system = trigonal
- formation energy from raw total energies (eV per atom) = -0.035
- magnetization (μB per formula unit) = 3.1

abc: 3.2843 3.2843 26.9088
angles: 90.00 90.00 120.00
Closest atoms and distances in Å follow each position.
Space group R-3m (No. 166, hexagonal axes)
Symmetry-distinct sites (fractional):
1 Al 0.0000 0.0000 0.0000 x3  6 Cl 3.00, 6 Al 3.28
2 Fe 0.0000 0.0000 0.5000 x3  2 Cl 2.16
3 Cl 0.0000 0.0000 0.4196 x6  1 Fe 2.16

***

7.
## CuReRu2 (PBE-GGA)

Data for a geometry-optimized CuReRu2 structure.

- crystal system = tetragonal
- formation energy from the elements (kJ per mole of atoms) = 70
- magnetization (μB per formula unit) = 0.0

abc: 6.9422 6.9422 5.3090
angles: 90.00 90.00 90.00
Closest atoms and distances in Å follow each position.
Space group I-42d (No. 122)
Symmetry-distinct sites (fractional):
1 Cu 0.0000 0.0000 0.0000 x4  2 Re 2.65, 4 Ru 2.72
2 Re 0.0000 0.0000 0.5000 x4  4 Ru 2.38, 2 Cu 2.65
3 Ru 0.2142 0.7500 0.6250 x8  2 Re 2.38

***

8.
## Re3NiPb (PBE-GGA)

Data for a geometry-optimized Re3NiPb structure.

- crystal system = cubic
- formation energy from the elements (kJ per mole of atoms) = 349
- magnetization (μB per formula unit) = 0.0

abc: 4.9139 4.9139 4.9139
angles: 90.00 90.00 90.00
Closest atoms and distances in Å follow each position.
Space group Pm-3m (No. 221)
Symmetry-distinct sites (fractional):
1 Re 0.0000 0.0000 0.5000 x3  2 Pb 2.46
2 Ni 0.5000 0.5000 0.5000 x1  12 Re 3.47
3 Pb 0.0000 0.0000 0.0000 x1  6 Re 2.46

***

9.
## Nd2BeNi4P3 (PBE-GGA)

Data for a geometry-optimized Nd2BeNi4P3 structure.

- crystal system = tetragonal
- formation energy from the elements (kJ per mole of atoms) = -87
- magnetization (μB per formula unit) = 0.0

abc: 3.9589 3.9589 9.3175
angles: 90.00 90.00 90.00
Closest atoms and distances in Å follow each position.
Space group P-4m2 (No. 115)
Symmetry-distinct sites (fractional):
1 Nd 0.0000 0.5000 0.2483 x2  6 P 3.01-3.04, 2 Be 3.04, 8 Ni 3.06-3.07
2 Be 0.5000 0.5000 0.0000 x1  4 Ni 2.26
3 Ni 0.0000 0.0000 0.5000 x1  4 P 2.34
4 Ni 0.0000 0.5000 0.8835 x2  2 Be 2.26, 3 P 2.26-2.32
5 Ni 0.5000 0.5000 0.5000 x1  4 P 2.34
6 P 0.0000 0.0000 0.0000 x1  4 Ni 2.26
7 P 0.0000 0.5000 0.6342 x2  5 Ni 2.32-2.34

***

10.
## CeZn2Au10 (PBE-GGA)

Data for a geometry-optimized CeZn2Au10 structure.

- crystal system = orthorhombic
- formation energy from the elements (kJ per mole of atoms) = -24
- magnetization (μB per formula unit) = 1.0

abc: 5.5305 13.2842 13.5314
angles: 90.00 90.00 90.00
Closest atoms and distances in Å follow each position.
Space group Fmmm (No. 69)
Symmetry-distinct sites (fractional):
1 Ce 0.0000 0.0000 0.0000 x4  12 Au 3.21-3.45
2 Zn 0.2500 0.0000 0.2500 x8  8 Au 2.71-2.77, 2 Zn 2.77
3 Au 0.0000 0.1052 0.3877 x16  2 Zn 2.71, 6 Au 2.80-2.99
4 Au 0.0000 0.1632 0.1748 x16  2 Zn 2.77, 6 Au 2.97-3.08
5 Au 0.2500 0.2500 0.0000 x8  10 Au 2.77-2.97

***

11.
## NaPr4Dy3Se8 (PBE-GGA)

Data for a geometry-optimized NaPr4Dy3Se8 structure.

- crystal system = trigonal
- formation energy from raw total energies (eV per atom) = -1.776
- magnetization (μB per formula unit) = 0.0

abc: 8.3209 8.3209 20.7092
angles: 90.00 90.00 120.00
Closest atoms and distances in Å follow each position.
Space group R-3m (No. 166, hexagonal axes)
Symmetry-distinct sites (fractional):
1 Na 0.0000 0.0000 0.0000 x3  6 Se 2.90
2 Pr 0.0000 0.0000 0.5000 x3  6 Se 3.02
3 Pr 0.0000 0.5000 0.5000 x9  6 Se 3.03
4 Dy 0.0000 0.5000 0.0000 x9  6 Se 2.89
5 Se 0.0000 0.0000 0.2556 x6  3 Dy 2.89, 3 Pr 3.03
6 Se 0.0012 0.5006 0.2554 x18  2 Dy 2.89, 1 Na 2.90, 3 Pr 3.02-3.03

***

What did the first record say?
## TaInTcS3 (PBE-GGA)

Data for a geometry-optimized TaInTcS3 structure.

- crystal system = monoclinic
- formation energy from raw total energies (eV per atom) = -0.632
- magnetization (μB per formula unit) = 0.0

abc: 8.0435 3.4045 10.0582
angles: 90.00 112.21 90.00
Closest atoms and distances in Å follow each position.
Space group P2_1/m (No. 11)
Symmetry-distinct sites (fractional):
1 Ta 0.0322 0.2500 0.3318 x2  6 S 2.47-2.60
2 In 0.4856 0.7500 0.7755 x2  5 S 2.98-3.33
3 Tc 0.0298 0.7500 0.1121 x2  4 S 2.32-2.60
4 S 0.1703 0.2500 0.6108 x2  3 Ta 2.57-2.60
5 S 0.1796 0.7500 0.9241 x2  3 Tc 2.32-2.60, 1 Ta 2.49
6 S 0.2612 0.7500 0.3468 x2  1 Tc 2.39, 2 Ta 2.47